Computed, not measured: a crystal of BeBiBr2 relaxed with PBEsol at the meta-GGA SCAN level of DFT.

Summary:
- density (kg/m3) = 6727
- ΔE_f (raw) (kJ/mol of atoms) = 61

```
16
Lattice="7.1985 0.0000 0.0000 0.0000 7.1985 0.0000 0.0000 0.0000 7.1985" Properties=species:S:1:pos:R:3 pbc="T T T"
Be 0.0000 0.0000 0.0000
Be 0.0000 3.5992 3.5992
Be 3.5992 0.0000 3.5992
Be 3.5992 3.5992 0.0000
Bi 0.0000 0.0000 3.5992
Bi 0.0000 3.5992 0.0000
Bi 3.5992 0.0000 0.0000
Bi 3.5992 3.5992 3.5992
Br 1.7996 1.7996 1.7996
Br 1.7996 1.7996 5.3989
Br 1.7996 5.3989 1.7996
Br 1.7996 5.3989 5.3989
Br 5.3989 1.7996 1.7996
Br 5.3989 1.7996 5.3989
Br 5.3989 5.3989 1.7996
Br 5.3989 5.3989 5.3989
```